Arrangement i

ScReCl2, PBEsol geometry, DFT meta-GGA SCAN; magnetization = 0.0003 μB/atom; SG = No. 166; D(E_F) = 0.598 states/eV per atom
1.0
2.995 0.000 0.000
1.497 2.593 0.000
1.497 0.864 8.356
Sc Cl Re
1 2 1
Direct
0.500 0.500 0.500
0.093 0.093 0.721
0.907 0.907 0.279
0.000 0.000 0.000



Arrangement ii

ScReCl2, PBEsol geometry, DFT meta-GGA SCAN; magnetization = 0.3188 μB/atom; SG = No. 12; D(E_F) = 0.561 states/eV per atom
1.0
-0.043 3.244 0.997
-2.716 1.009 -3.873
-2.067 -2.856 3.664
Sc Cl Re
1 2 1
Direct
0.500 0.500 0.000
0.000 0.000 0.500
0.500 0.500 0.500
0.000 0.000 0.000



The data favor arrangement i; the next most stable structure lies 259 meV/atom above it.



Arrangement i

ReSe2Cl, PBEsol geometry, DFT meta-GGA SCAN; magnetization = 0.0001 μB/atom; SG = No. 122; D(E_F) = 0.731 states/eV per atom
1.0
-4.245 -4.973 0.785
6.271 -1.271 -1.764
-1.316 2.088 6.105
Se Re Cl
4 2 2
Direct
0.299 0.250 0.375
0.625 0.750 0.049
0.125 0.750 0.701
0.951 0.250 0.875
0.000 0.000 0.000
0.250 0.500 0.750
0.500 0.000 0.500
0.750 0.500 0.250



Arrangement ii

ReSe2Cl, PBEsol geometry, DFT meta-GGA SCAN; magnetization = 0.0000 μB/atom; SG = No. 99; D(E_F) = 0.477 states/eV per atom
1.0
-0.508 -2.449 -1.505
2.624 0.229 -1.258
3.648 -4.885 6.719
Re Cl Se
1 1 2
Direct
0.500 0.500 0.757
0.000 0.000 0.576
0.500 0.500 0.244
0.000 0.000 0.923



The data favor arrangement i; the next most stable structure lies 138 meV/atom above it.



Arrangement i

ReSiCl2, PBEsol geometry, DFT meta-GGA SCAN; magnetization = 0.0000 μB/atom; SG = No. 166; D(E_F) = 0.459 states/eV per atom
1.0
2.899 0.000 0.000
1.449 2.511 0.000
1.449 0.837 9.008
Si Cl Re
1 2 1
Direct
0.500 0.500 0.500
0.083 0.083 0.750
0.917 0.917 0.250
0.000 0.000 0.000



Arrangement ii

ReSiCl2, PBEsol geometry, DFT meta-GGA SCAN; magnetization = 0.0102 μB/atom; SG = No. 47; D(E_F) = 0.656 states/eV per atom
1.0
-2.307 1.573 0.002
-0.358 -0.530 4.301
2.844 4.170 0.751
Re Cl Si
1 2 1
Direct
0.500 0.500 0.000
0.500 0.000 0.500
0.000 0.000 0.000
0.000 0.500 0.500



The data favor arrangement i; the next most stable structure lies 360 meV/atom above it.



Arrangement i

ReSi2Cl, PBEsol geometry, DFT meta-GGA SCAN; magnetization = 0.0000 μB/atom; SG = No. 65; D(E_F) = 0.536 states/eV per atom
1.0
2.899 0.000 0.000
0.000 4.523 -0.018
0.000 -1.339 4.320
Si Cl Re
2 1 1
Direct
0.000 0.000 0.500
0.000 0.500 0.000
0.500 0.000 0.000
0.500 0.500 0.500



Arrangement ii

ReSi2Cl, PBEsol geometry, DFT meta-GGA SCAN; magnetization = 0.0000 μB/atom; SG = No. 44; D(E_F) = 0.421 states/eV per atom
1.0
2.792 0.000 0.000
0.000 3.952 0.000
-1.396 -1.976 7.028
Si Cl Re
2 1 1
Direct
0.763 0.263 0.526
0.938 0.938 0.876
0.512 0.512 0.025
0.287 0.787 0.574



Arrangement iii

ReSi2Cl, PBEsol geometry, DFT meta-GGA SCAN; magnetization = 0.0000 μB/atom; SG = No. 12; D(E_F) = 0.540 states/eV per atom
1.0
-2.253 1.841 -0.455
-1.057 -0.211 4.385
3.896 2.546 0.538
Re Si Cl
1 2 1
Direct
0.000 0.500 0.000
0.276 0.281 0.551
0.724 0.719 0.449
0.500 0.000 0.000



The data favor arrangement ii; the next most stable structure lies 374 meV/atom above it.



Arrangement i

Sr2ReCl, PBEsol geometry, DFT meta-GGA SCAN; magnetization = 0.0012 μB/atom; SG = No. 166; D(E_F) = 0.788 states/eV per atom
1.0
3.596 0.000 0.000
1.798 3.114 0.000
1.798 1.038 8.955
Re Sr Cl
1 2 1
Direct
0.000 0.000 0.000
0.750 0.750 0.751
0.250 0.250 0.249
0.500 0.500 0.500



Arrangement ii

Sr2ReCl, PBEsol geometry, DFT meta-GGA SCAN; magnetization = 0.5272 μB/atom; SG = No. 123; D(E_F) = 0.579 states/eV per atom
1.0
-0.334 -4.208 -0.815
1.347 0.673 -4.027
5.684 -0.794 1.768
Sr Re Cl
2 1 1
Direct
0.000 0.000 0.500
0.500 0.500 0.000
0.500 0.500 0.500
0.000 0.000 0.000



Arrangement iii

Sr2ReCl, PBEsol geometry, DFT meta-GGA SCAN; magnetization = 0.0002 μB/atom; SG = No. 44; D(E_F) = 0.442 states/eV per atom
1.0
3.122 0.000 0.000
0.000 5.316 0.000
-1.561 -2.658 5.669
Re Sr Cl
1 2 1
Direct
0.216 0.716 0.432
0.974 0.974 0.948
0.784 0.284 0.569
0.525 0.525 0.051



Arrangement iv

Sr2ReCl, PBEsol geometry, DFT meta-GGA SCAN; magnetization = 0.0001 μB/atom; SG = No. 123; D(E_F) = 0.977 states/eV per atom
1.0
-0.952 2.109 -2.067
-5.195 -0.444 1.940
1.023 4.056 3.668
Sr Cl Re
2 1 1
Direct
0.880 0.000 0.500
0.880 0.500 0.000
0.380 0.000 0.000
0.380 0.500 0.500



The data favor arrangement i; the next most stable structure lies 25 meV/atom above it.



Arrangement i

Ta2ReCl, PBEsol geometry, DFT meta-GGA SCAN; magnetization = 0.0000 μB/atom; SG = No. 119; D(E_F) = 0.927 states/eV per atom
1.0
-0.136 0.471 3.673
-1.857 -3.188 0.340
5.102 -0.985 -1.555
Re Cl Ta
1 1 2
Direct
0.250 0.750 0.500
0.500 0.500 0.000
0.750 0.250 0.500
0.000 0.000 0.000



Arrangement ii

Ta2ReCl, PBEsol geometry, DFT meta-GGA SCAN; magnetization = 0.0000 μB/atom; SG = No. 47; D(E_F) = 0.778 states/eV per atom
1.0
3.073 0.000 0.000
0.000 4.379 0.000
0.000 0.000 4.819
Cl Ta Re
1 2 1
Direct
0.500 0.500 0.000
0.500 0.000 0.500
0.000 0.000 0.000
0.000 0.500 0.500



The data favor arrangement ii; the next most stable structure lies 39 meV/atom above it.



Arrangement i

TaRe2Cl, PBEsol geometry, DFT meta-GGA SCAN; magnetization = 0.0000 μB/atom; SG = No. 65; D(E_F) = 1.078 states/eV per atom
1.0
-0.865 2.573 0.329
-0.717 -0.859 4.828
4.789 1.804 -1.511
Ta Cl Re
1 1 2
Direct
0.500 0.000 0.000
0.500 0.500 0.000
0.000 0.000 0.500
0.000 0.500 0.500



Arrangement ii

TaRe2Cl, PBEsol geometry, DFT meta-GGA SCAN; magnetization = 0.0000 μB/atom; SG = No. 119; D(E_F) = 0.899 states/eV per atom
1.0
3.822 0.000 0.000
0.000 3.822 0.000
-1.911 -1.911 4.217
Re Cl Ta
2 1 1
Direct
0.000 0.000 0.000
0.750 0.250 0.500
0.250 0.750 0.500
0.500 0.500 0.000



The data favor arrangement i; the next most stable structure lies 189 meV/atom above it.



Arrangement i

ReTc2Cl, PBEsol geometry, DFT meta-GGA SCAN; magnetization = 0.0000 μB/atom; SG = No. 119; D(E_F) = 1.068 states/eV per atom
1.0
3.691 0.000 0.000
0.000 3.691 0.000
-1.845 -1.845 4.223
Cl Re Tc
1 1 2
Direct
0.500 0.500 0.000
0.250 0.750 0.500
0.750 0.250 0.500
0.000 0.000 0.000



Arrangement ii

ReTc2Cl, PBEsol geometry, DFT meta-GGA SCAN; magnetization = 0.0000 μB/atom; SG = No. 123; D(E_F) = 0.861 states/eV per atom
1.0
-1.956 -1.995 -0.486
2.161 -2.789 2.759
-2.418 1.532 3.444
Cl Tc Re
1 2 1
Direct
0.500 0.500 0.500
0.000 0.000 0.500
0.000 0.500 0.000
0.500 0.000 0.000



The data favor arrangement ii; the next most stable structure lies 372 meV/atom above it.